Record 1
DFT (PBE) results for a relaxed KRbIrPb2 crystal.

```
KRbIrPb2
1.0
5.360 0.000 0.000
0.000 5.360 0.000
0.000 0.000 6.233
K Rb Ir Pb
1 1 1 2
Direct
0.000 0.000 0.000 K
0.500 0.500 0.000 Rb
0.000 0.000 0.500 Ir
0.000 0.500 0.500 Pb
0.500 0.000 0.500 Pb
```

E	-3.53	eV/atom
SG	No. 123
formation energy	0.139	eV/atom

Record 2
DFT (PBE) results for a relaxed SrAl2CdTc crystal.

```
SrAl2CdTc
1.0
5.013 0.000 0.000
0.000 5.013 0.000
0.000 0.000 5.313
Sr Al Cd Tc
1 2 1 1
Direct
0.000 0.000 0.000 Sr
0.000 0.500 0.500 Al
0.500 0.000 0.500 Al
0.500 0.500 0.500 Cd
0.500 0.500 0.000 Tc
```

energy relative to the lowest polymorph listed for this composition	956	meV/atom
E	-3.24	eV/atom
SG	No. 123
formation energy	0.845	eV/atom

Look up the formation energy of the first one. 0.139 eV/atom

Which value of formation energy does entry 1 give? 0.139 eV/atom

Which of these has the lowest formation energy? KRbIrPb2

Which of these has the highest formation energy? SrAl2CdTc